The following is a DFT calculation (PBE) of a relaxed Tb3Er2ThS6 crystal.

Summary:
Calculated total energy   -6.551 eV per atom
Magnetization   0.000 μB per atom
Formation energy from raw total energies   -1951 meV/atom

Lattice parameters (Å, degrees): 17.089 3.921 7.882 90.00 102.88 90.00
Space group C2/m (No. 12)
Inequivalent atoms, fractional coordinates:
Tb (0.000, 0.000, 0.000)
Tb (0.162, 0.500, 0.334)
Er (0.165, 0.500, 0.830)
Th (0.000, 0.000, 0.500)
S (0.003, 0.500, 0.761)
S (0.169, 0.000, 0.080)
S (0.172, 0.000, 0.591)